1.
Here is Sr2PbW after structural relaxation from Alexandria. Energies are from PBE.

The crystal system is trigonal. The total energy is -50.2 eV per cell. The calculation puts the formation enthalpy at 0 K at 0.83 eV/atom. The magnetic moment is 0.002 Bohr magnetons per cell.

It has space group R-3m (No. 166, hexagonal axes), with a = 3.4470 Å, b = 3.4470 Å, c = 33.5993 Å, α = 90.00°, β = 90.00° and γ = 120.00°. The asymmetric unit holds Sr at (0.0000, 0.0000, 0.2431), Pb at (0.0000, 0.0000, 0.0000) and W at (0.0000, 0.0000, 0.5000).

2.
Here is Tm5Sb2Pb after structural relaxation from Alexandria. Energies are from PBE.

The crystal system is orthorhombic. The total energy is -148.7 eV per cell. The magnetic moment is 0.000 Bohr magnetons per cell. The formation energy from raw total energies comes out at -357 meV per atom.

It has space group Cmcm (No. 63), with a = 5.8388 Å, b = 11.5498 Å, c = 14.1059 Å, α = 90.00°, β = 90.00° and γ = 90.00°. The asymmetric unit holds Tm at (0.0000, 0.0725, 0.1010), Tm at (0.0000, 0.3783, 0.0499), Tm at (0.0000, 0.4041, 0.7500), Sb at (0.0000, 0.1963, 0.6057) and Pb at (0.0000, 0.2808, 0.2500).

3.
Here is GaTc after structural relaxation from Alexandria. Energies are from PBE.

The crystal system is orthorhombic. The total energy is -79.6 eV per cell. The energy above the most stable polymorph in this dataset comes out at 236 meV/atom. The calculation puts the formation enthalpy at 0 K at 0.06 eV/atom. The magnetic moment is 0.001 Bohr magnetons per cell.

It has space group Amm2 (No. 38), with a = 2.7901 Å, b = 12.2815 Å, c = 6.0394 Å, α = 90.00°, β = 90.00° and γ = 90.00°. The asymmetric unit holds Ga at (0.0000, 0.0000, 0.0000), Ga at (0.0000, 0.2449, 0.5708), Tc at (0.0000, 0.0000, 0.5736) and Tc at (0.5000, 0.1182, 0.3129).